The following is a DFT calculation (PBE-GGA) of Se2I2Br3 after structural relaxation.

Unit cell a=6.3053 b=12.0228 c=10.5811 alpha=34.34 beta=55.81 gamma=65.38
Positions (direct):
Br1 0.0643 0.0500 0.0302
Br2 0.2648 0.3781 0.1262
I1 0.4914 0.0964 0.6758
I2 0.5290 0.9106 0.3177
Se1 0.0562 0.8316 0.6333
Se2 0.9065 0.1430 0.3470
Br3 0.6877 0.5904 0.8699


The following is a DFT calculation (PBE-GGA) of Sr4SbP2 after structural relaxation.

Unit cell a=8.2704 b=8.2733 c=8.2808 alpha=109.07 beta=109.05 gamma=110.25
Positions (direct):
Sb1 0.7500 0.2498 0.4999
P1 0.4980 0.1252 0.8730
P2 0.8749 0.7478 0.3729
Sr1 0.9958 0.3917 0.2553
Sr2 0.2592 0.0037 0.3957
Sr3 0.6085 0.8638 0.6044
P3 0.3750 0.5022 0.6270
Sr4 0.1365 0.7407 0.7443
P4 0.2519 0.6249 0.1270
Sr5 0.6135 0.8581 0.1043
Sr6 0.7541 0.5094 0.8956
Sr7 0.4904 0.3864 0.2447
Sr8 0.1421 0.2463 0.7557
Sb2 0.0001 0.9999 0.0001


The following is a DFT calculation (PBE-GGA) of TmTl2Ir3O12 after structural relaxation.

Unit cell a=7.4784 b=7.4784 c=7.4784 alpha=58.40 beta=58.40 gamma=58.40
Positions (direct):
O1 0.3600 0.9159 0.9159
Ir1 0.0000 0.0000 0.5000
Tm1 0.0000 0.0000 0.0000
O2 0.0841 0.0841 0.6400
O3 0.9159 0.3600 0.9159
O4 0.6400 0.0841 0.0841
O5 0.9159 0.9159 0.3600
Tl1 0.3345 0.3345 0.3345
O6 0.3056 0.9212 0.3056
O7 0.6944 0.0788 0.6944
Ir2 0.0000 0.5000 0.0000
O8 0.0788 0.6944 0.6944
Tl2 0.6655 0.6655 0.6655
O9 0.3056 0.3056 0.9212
O10 0.6944 0.6944 0.0788
Ir3 0.5000 0.0000 0.0000
O11 0.9212 0.3056 0.3056
O12 0.0841 0.6400 0.0841


The following is a DFT calculation (PBE-GGA) of Ti3ClF after structural relaxation.

Unit cell a=4.2653 b=4.2653 c=4.2653 alpha=90.00 beta=90.00 gamma=90.00
Positions (direct):
Cl1 0.5000 0.5000 0.5000
F1 0.0000 0.0000 0.0000
Ti1 0.0000 0.0000 0.5000
Ti2 0.5000 0.0000 0.0000
Ti3 0.0000 0.5000 0.0000


| no. | DFT total energy (eV/atom) |
| --- | --- |
| 1 | -2.165 |
| 2 | -4.078 |
| 3 | -6.275 |
| 4 | -5.625 |